(1)
Entry from Alexandria via LeMat-Bulk: an optimized crystal structure of ZrCr2P (GGA-PBEsol).

Summary:
Uncorrected energy = -8.97 eV/atom
N(E_F) = 0.64 states/eV per atom
Formation energy = -49.2 kJ/mol of formula units

Lattice parameters (Å, degrees): 4.1976 4.1976 4.2061 60.07 60.07 60.00
With the nearest neighbours (Å) after each atom.
Positions (direct):
Cr1 0.2500 0.2500 0.2500  4 Zr 2.57-2.58, 4 P 2.57-2.58
Cr2 0.7500 0.7500 0.7500  4 Zr 2.57-2.58, 4 P 2.57-2.58
P1 0.5000 0.5000 0.5000  8 Cr 2.57-2.58
Zr1 0.0000 0.0000 0.0000  8 Cr 2.57-2.58



(2)
Entry from Alexandria via LeMat-Bulk: an optimized crystal structure of ZrCrP4 (GGA-PBEsol).

Summary:
Uncorrected energy = -6.85 eV/atom
N(E_F) = 0.80 states/eV per atom
Formation energy = 134.3 kJ/mol of formula units

Lattice parameters (Å, degrees): 5.0040 5.0040 5.0040 60.00 60.00 60.00
With the nearest neighbours (Å) after each atom.
Positions (direct):
P1 0.3740 0.8779 0.3740  6 P 2.48-2.52
P2 0.3740 0.3740 0.8779  6 P 2.48-2.52
P3 0.3740 0.3740 0.3740  6 P 2.48-2.52
P4 0.8779 0.3740 0.3740  6 P 2.48-2.52
Cr1 0.0000 0.0000 0.0000  12 P 2.93, 4 Zr 3.06
Zr1 0.7500 0.7500 0.7500  12 P 2.94, 4 Cr 3.06



(3)
Entry from Alexandria via LeMat-Bulk: an optimized crystal structure of CrPb4 (GGA-PBEsol).

Summary:
Uncorrected energy = -4.88 eV/atom
N(E_F) = 0.50 states/eV per atom
Formation energy = 178.0 kJ/mol of formula units

Lattice parameters (Å, degrees): 4.9687 5.7314 5.7314 79.17 64.31 64.31
With the nearest neighbours (Å) after each atom.
Positions (direct):
Pb1 0.2026 0.4109 0.1838  3 Cr 3.19-3.40, 9 Pb 3.26-3.45
Pb2 0.7974 0.5891 0.8162  3 Cr 3.19-3.40, 9 Pb 3.26-3.45
Pb3 0.3864 0.8162 0.4109  3 Cr 3.19-3.40, 9 Pb 3.26-3.45
Pb4 0.6136 0.1838 0.5891  3 Cr 3.19-3.40, 9 Pb 3.26-3.45
Cr1 0.0000 0.0000 0.0000  12 Pb 3.19-3.40



(4)
Entry from Alexandria via LeMat-Bulk: an optimized crystal structure of CrPb2 (GGA-PBEsol).

Summary:
Uncorrected energy = -5.57 eV/atom
N(E_F) = 0.78 states/eV per atom
Formation energy = 148.2 kJ/mol of formula units

Lattice parameters (Å, degrees): 3.3502 3.3502 6.8739 104.10 104.10 90.00
With the nearest neighbours (Å) after each atom.
Positions (direct):
Cr1 0.0000 0.0000 0.0000  8 Pb 2.98
Pb1 0.3601 0.3601 0.7202  4 Cr 2.98
Pb2 0.6399 0.6399 0.2798  4 Cr 2.98



(5)
Entry from Alexandria via LeMat-Bulk: an optimized crystal structure of CrPb3 (GGA-PBEsol).

Summary:
Uncorrected energy = -5.15 eV/atom
N(E_F) = 0.67 states/eV per atom
Formation energy = 159.3 kJ/mol of formula units

Lattice parameters (Å, degrees): 3.3291 4.7455 7.2036 109.23 103.36 90.00
With the nearest neighbours (Å) after each atom.
Positions (direct):
Pb1 0.3111 0.8111 0.6223  2 Cr 3.00, 6 Pb 3.32-3.33
Pb2 0.6889 0.1889 0.3777  2 Cr 3.00, 6 Pb 3.32-3.33
Pb3 0.5000 0.5000 0.0000  4 Cr 2.90
Cr1 0.0000 0.0000 0.0000  8 Pb 2.90-3.00



(6)
Entry from Alexandria via LeMat-Bulk: an optimized crystal structure of CrPb2 (GGA-PBEsol).

Summary:
Uncorrected energy = -5.45 eV/atom
N(E_F) = 0.55 states/eV per atom
Formation energy = 181.1 kJ/mol of formula units

Lattice parameters (Å, degrees): 3.5034 4.9618 4.9618 120.00 90.00 90.00
With the nearest neighbours (Å) after each atom.
Positions (direct):
Cr1 0.0000 0.0000 0.0000  6 Pb 3.01
Pb1 0.2661 0.3333 0.6667  3 Cr 3.01, 3 Pb 3.30
Pb2 0.7339 0.6667 0.3333  3 Cr 3.01, 3 Pb 3.30